Entry 1:
Computed, not measured: a PBEsol-optimized structure of MgTlW2 at the SCAN level of DFT.

Values from the calculation:
Energy above the lowest structure with this stoichiometry, eV per atom: 0.341
Total moment, μB per cell: 0.00
DOS(E_F), states/eV/f.u.: 2.32
Formation energy, eV/f.u.: 3.61

a b c (Å): 2.915 2.915 29.193
angles (deg): 90.00 90.00 120.00
Sites, in units of the cell vectors:
Mg: 0.000 0.000 0.000
Mg: 0.333 0.667 0.667
Mg: 0.667 0.333 0.333
Tl: 0.000 0.000 0.500
Tl: 0.333 0.667 0.167
Tl: 0.667 0.333 0.833
W: 0.000 0.000 0.251
W: 0.000 0.000 0.749
W: 0.333 0.667 0.416
W: 0.333 0.667 0.917
W: 0.667 0.333 0.083
W: 0.667 0.333 0.584

---

Entry 2:
Computed, not measured: a PBEsol-optimized structure of Ag2OsPt at the SCAN level of DFT.

Values from the calculation:
Energy above the lowest structure with this stoichiometry, eV per atom: 0.271
Total moment, μB per cell: 0.60
DOS(E_F), states/eV/f.u.: 3.62
Formation energy, eV/f.u.: 2.17

a b c (Å): 2.680 2.680 8.561
angles (deg): 90.00 90.00 90.00
Sites, in units of the cell vectors:
Ag: 0.000 0.000 0.250
Ag: 0.000 0.000 0.750
Os: 0.500 0.500 0.000
Pt: 0.500 0.500 0.500

---

Entry 3:
Computed, not measured: a PBEsol-optimized structure of RbYCuW2 at the SCAN level of DFT.

Values from the calculation:
Total moment, μB per cell: 0.00
DOS(E_F), states/eV/f.u.: 4.58
Formation energy, eV/f.u.: 17.06

a b c (Å): 4.675 4.675 5.056
angles (deg): 90.00 90.00 90.00
Sites, in units of the cell vectors:
Rb: 0.000 0.000 0.000
Y: 0.000 0.000 0.500
Cu: 0.500 0.500 0.500
W: 0.000 0.500 0.000
W: 0.500 0.000 0.000

---

Entry 4:
Computed, not measured: a PBEsol-optimized structure of Hf2Ti2In at the SCAN level of DFT.

Values from the calculation:
Total moment, μB per cell: 0.00
DOS(E_F), states/eV/f.u.: 3.67
Formation energy, eV/f.u.: -0.30

a b c (Å): 7.169 7.169 3.783
angles (deg): 90.00 90.00 90.00
Sites, in units of the cell vectors:
Hf: 0.164 0.336 0.000
Hf: 0.336 0.836 0.000
Hf: 0.664 0.164 0.000
Hf: 0.836 0.664 0.000
Ti: 0.131 0.631 0.500
Ti: 0.369 0.131 0.500
Ti: 0.631 0.869 0.500
Ti: 0.869 0.369 0.500
In: 0.000 0.000 0.500
In: 0.500 0.500 0.500

---

Entry 5:
Computed, not measured: a PBEsol-optimized structure of Zn2InSb at the SCAN level of DFT.

Values from the calculation:
Energy above the lowest structure with this stoichiometry, eV per atom: 0.125
Total moment, μB per cell: 0.00
DOS(E_F), states/eV/f.u.: 1.64
Formation energy (no corrections), eV per atom: 0.236

a b c (Å): 6.948 6.948 6.948
angles (deg): 90.00 90.00 90.00
Sites, in units of the cell vectors:
Zn: 0.250 0.250 0.250
Zn: 0.250 0.250 0.750
Zn: 0.250 0.750 0.250
Zn: 0.250 0.750 0.750
Zn: 0.750 0.250 0.250
Zn: 0.750 0.250 0.750
Zn: 0.750 0.750 0.250
Zn: 0.750 0.750 0.750
In: 0.000 0.000 0.000
In: 0.000 0.500 0.500
In: 0.500 0.000 0.500
In: 0.500 0.500 0.000
Sb: 0.000 0.000 0.500
Sb: 0.000 0.500 0.000
Sb: 0.500 0.000 0.000
Sb: 0.500 0.500 0.500

---

Entry 6:
Computed, not measured: a PBEsol-optimized structure of SrBeBr2 at the SCAN level of DFT.

Values from the calculation:
Energy above the lowest structure with this stoichiometry, eV per atom: 0.000
Total moment, μB per cell: 0.00
Formation energy (no corrections), eV per atom: -0.979

a b c (Å): 4.721 3.917 5.865
angles (deg): 90.00 111.01 90.00
Sites, in units of the cell vectors:
Sr: 0.000 0.000 0.000
Be: 0.358 0.500 0.395
Br: 0.418 0.500 0.801
Br: 0.691 0.000 0.412

---

Entry 7:
Computed, not measured: a PBEsol-optimized structure of CdAg2Au at the SCAN level of DFT.

Values from the calculation:
Total moment, μB per cell: 0.00
DOS(E_F), states/eV/f.u.: 1.01
Formation energy, eV/f.u.: -0.35

a b c (Å): 2.957 2.957 7.927
angles (deg): 90.00 90.00 90.00
Sites, in units of the cell vectors:
Cd: 0.000 0.000 0.000
Ag: 0.000 0.000 0.501
Ag: 0.500 0.500 0.745
Au: 0.500 0.500 0.255

---

Entry 8:
Computed, not measured: a PBEsol-optimized structure of ReTc5 at the SCAN level of DFT.

Values from the calculation:
Energy above the lowest structure with this stoichiometry, eV per atom: 0.000
Total moment, μB per cell: 0.00
DOS(E_F), states/eV/f.u.: 5.50
Formation energy, eV/f.u.: -0.02

a b c (Å): 9.938 2.723 6.437
angles (deg): 90.00 104.38 90.00
Sites, in units of the cell vectors:
Re: 0.000 0.000 0.000
Re: 0.500 0.500 0.000
Tc: 0.057 0.000 0.612
Tc: 0.167 0.500 0.335
Tc: 0.223 0.500 0.946
Tc: 0.333 0.000 0.667
Tc: 0.389 0.000 0.281
Tc: 0.557 0.500 0.612
Tc: 0.667 0.000 0.335
Tc: 0.723 0.000 0.946
Tc: 0.833 0.500 0.667
Tc: 0.889 0.500 0.281

---

Entry 9:
Computed, not measured: a PBEsol-optimized structure of Sr2CdBr at the SCAN level of DFT.

Values from the calculation:
Total moment, μB per cell: 0.18
DOS(E_F), states/eV/f.u.: 2.63
Formation energy (no corrections), eV per atom: -1.006

a b c (Å): 4.099 3.904 8.790
angles (deg): 90.00 90.62 90.00
Sites, in units of the cell vectors:
Sr: 0.005 0.000 0.222
Sr: 0.995 0.000 0.778
Cd: 0.500 0.500 0.000
Br: 0.000 0.500 0.500

---

Entry 10:
Computed, not measured: a PBEsol-optimized structure of Li2CuRh at the SCAN level of DFT.

Values from the calculation:
Energy above the lowest structure with this stoichiometry, eV per atom: 0.000
Total moment, μB per cell: 0.00
DOS(E_F), states/eV/f.u.: 1.28
Formation energy, eV/f.u.: -0.55

a b c (Å): 2.858 4.181 8.238
angles (deg): 90.00 90.00 90.00
Sites, in units of the cell vectors:
Li: 0.000 0.000 0.243
Li: 0.000 0.000 0.757
Li: 0.500 0.500 0.257
Li: 0.500 0.500 0.743
Cu: 0.000 0.500 0.500
Cu: 0.500 0.000 0.000
Rh: 0.000 0.500 0.000
Rh: 0.500 0.000 0.500

---

Entry 11:
Computed, not measured: a PBEsol-optimized structure of SrCd2P at the SCAN level of DFT.

Values from the calculation:
Total moment, μB per cell: 0.00
DOS(E_F), states/eV/f.u.: 1.44
Formation energy, eV/f.u.: -0.96

a b c (Å): 4.327 4.327 19.403
angles (deg): 90.00 90.00 120.00
Sites, in units of the cell vectors:
Sr: 0.000 0.000 0.000
Sr: 0.333 0.667 0.667
Sr: 0.667 0.333 0.333
Cd: 0.000 0.000 0.223
Cd: 0.000 0.000 0.777
Cd: 0.333 0.667 0.444
Cd: 0.333 0.667 0.890
Cd: 0.667 0.333 0.110
Cd: 0.667 0.333 0.556
P: 0.000 0.000 0.500
P: 0.333 0.667 0.167
P: 0.667 0.333 0.833

---

Entry 12:
Computed, not measured: a PBEsol-optimized structure of YCrIr at the SCAN level of DFT.

Values from the calculation:
Total moment, μB per cell: 12.68
DOS(E_F), states/eV/f.u.: 3.96
Formation energy, eV/f.u.: 0.43

a b c (Å): 6.048 6.048 6.048
angles (deg): 90.00 90.00 90.00
Sites, in units of the cell vectors:
Y: 0.000 0.000 0.000
Y: 0.000 0.500 0.500
Y: 0.500 0.000 0.500
Y: 0.500 0.500 0.000
Cr: 0.250 0.250 0.750
Cr: 0.250 0.750 0.250
Cr: 0.750 0.250 0.250
Cr: 0.750 0.750 0.750
Ir: 0.000 0.000 0.500
Ir: 0.000 0.500 0.000
Ir: 0.500 0.000 0.000
Ir: 0.500 0.500 0.500

---

Entry 13:
Computed, not measured: a PBEsol-optimized structure of ReMoRh at the SCAN level of DFT.

Values from the calculation:
Energy above the lowest structure with this stoichiometry, eV per atom: 0.006
Total moment, μB per cell: 0.00
DOS(E_F), states/eV/f.u.: 3.76
Formation energy, eV/f.u.: 0.25

a b c (Å): 2.714 2.714 6.798
angles (deg): 90.00 90.00 120.00
Sites, in units of the cell vectors:
Re: 0.000 0.000 0.000
Mo: 0.667 0.333 0.345
Rh: 0.333 0.667 0.674

---

Entry 14:
Computed, not measured: a PBEsol-optimized structure of RbTi3Si2P6O25 at the SCAN level of DFT.

Values from the calculation:
Total moment, μB per cell: 2.01
DOS(E_F), states/eV/f.u.: 8.95
Formation energy (no corrections), eV per atom: -2.794

a b c (Å): 8.319 8.319 17.272
angles (deg): 90.00 90.00 120.00
Sites, in units of the cell vectors:
Rb: 0.333 0.667 0.250
Rb: 0.667 0.333 0.750
Ti: 0.333 0.667 0.024
Ti: 0.333 0.667 0.476
Ti: 0.333 0.667 0.750
Ti: 0.667 0.333 0.250
Ti: 0.667 0.333 0.524
Ti: 0.667 0.333 0.976
Si: 0.000 0.000 0.092
Si: 0.000 0.000 0.408
Si: 0.000 0.000 0.592
Si: 0.000 0.000 0.908
P: 0.051 0.384 0.609
P: 0.051 0.667 0.891
P: 0.333 0.384 0.891
P: 0.333 0.949 0.609
P: 0.384 0.051 0.109
P: 0.384 0.333 0.391
P: 0.616 0.667 0.609
P: 0.616 0.949 0.891
P: 0.667 0.051 0.391
P: 0.667 0.616 0.109
P: 0.949 0.333 0.109
P: 0.949 0.616 0.391
O: 0.000 0.000 0.000
O: 0.000 0.000 0.500
O: 0.021 0.192 0.126
O: 0.021 0.829 0.374
O: 0.121 0.520 0.092
O: 0.121 0.601 0.408
O: 0.135 0.481 0.686
O: 0.135 0.655 0.814
O: 0.171 0.192 0.374
O: 0.171 0.979 0.126
O: 0.190 0.446 0.542
O: 0.190 0.744 0.958
O: 0.192 0.021 0.626
O: 0.192 0.171 0.874
O: 0.256 0.446 0.958
O: 0.256 0.810 0.542
O: 0.345 0.481 0.814
O: 0.345 0.865 0.686
O: 0.399 0.520 0.408
O: 0.399 0.879 0.092
O: 0.446 0.190 0.042
O: 0.446 0.256 0.458
O: 0.480 0.601 0.092
O: 0.480 0.879 0.408
O: 0.481 0.135 0.186
O: 0.481 0.345 0.314
O: 0.519 0.655 0.686
O: 0.519 0.865 0.814
O: 0.520 0.121 0.592
O: 0.520 0.399 0.908
O: 0.554 0.744 0.542
O: 0.554 0.810 0.958
O: 0.601 0.121 0.908
O: 0.601 0.480 0.592
O: 0.655 0.135 0.314
O: 0.655 0.519 0.186
O: 0.744 0.190 0.458
O: 0.744 0.554 0.042
O: 0.808 0.829 0.126
O: 0.808 0.979 0.374
O: 0.810 0.256 0.042
O: 0.810 0.554 0.458
O: 0.829 0.021 0.874
O: 0.829 0.808 0.626
O: 0.865 0.345 0.186
O: 0.865 0.519 0.314
O: 0.879 0.399 0.592
O: 0.879 0.480 0.908
O: 0.979 0.171 0.626
O: 0.979 0.808 0.874

---

Entry 15:
Computed, not measured: a PBEsol-optimized structure of Si3Tc at the SCAN level of DFT.

Values from the calculation:
Energy above the lowest structure with this stoichiometry, eV per atom: 0.052
Total moment, μB per cell: 0.00
DOS(E_F), states/eV/f.u.: 1.69
Formation energy (no corrections), eV per atom: 0.145

a b c (Å): 2.938 2.938 7.528
angles (deg): 90.00 90.00 120.00
Sites, in units of the cell vectors:
Si: 0.000 0.000 0.000
Si: 0.667 0.333 0.264
Si: 0.667 0.333 0.736
Tc: 0.000 0.000 0.500

---

Entry 16:
Computed, not measured: a PBEsol-optimized structure of LaMn2Sb at the SCAN level of DFT.

Values from the calculation:
Total moment, μB per cell: 7.10
DOS(E_F), states/eV/f.u.: 3.98
Formation energy (no corrections), eV per atom: -0.082

a b c (Å): 3.474 3.474 6.680
angles (deg): 90.00 90.00 90.00
Sites, in units of the cell vectors:
La: 0.000 0.000 0.000
Mn: 0.500 0.500 0.304
Mn: 0.500 0.500 0.696
Sb: 0.000 0.000 0.500

---

Entry 17:
Computed, not measured: a PBEsol-optimized structure of La2AsO2 at the SCAN level of DFT.

Values from the calculation:
Total moment, μB per cell: 0.04
DOS(E_F), states/eV/f.u.: 1.61
Formation energy (no corrections), eV per atom: -2.942

a b c (Å): 3.941 3.941 13.356
angles (deg): 90.00 90.00 90.00
Sites, in units of the cell vectors:
La: 0.000 0.000 0.156
La: 0.000 0.000 0.844
La: 0.500 0.500 0.344
La: 0.500 0.500 0.656
As: 0.000 0.000 0.500
As: 0.500 0.500 0.000
O: 0.000 0.500 0.250
O: 0.000 0.500 0.750
O: 0.500 0.000 0.250
O: 0.500 0.000 0.750

---

Entry 18:
Computed, not measured: a PBEsol-optimized structure of ZrC at the SCAN level of DFT.

Values from the calculation:
Energy above the lowest structure with this stoichiometry, eV per atom: 0.883
Total moment, μB per cell: 0.00
DOS(E_F), states/eV/f.u.: 1.08
Formation energy, eV/f.u.: -0.22

a b c (Å): 4.024 4.024 11.968
angles (deg): 90.00 90.00 120.00
Sites, in units of the cell vectors:
Zr: 0.000 0.000 0.244
Zr: 0.000 0.000 0.756
Zr: 0.333 0.667 0.423
Zr: 0.333 0.667 0.910
Zr: 0.667 0.333 0.090
Zr: 0.667 0.333 0.577
C: 0.000 0.000 0.060
C: 0.000 0.000 0.940
C: 0.333 0.667 0.606
C: 0.333 0.667 0.727
C: 0.667 0.333 0.273
C: 0.667 0.333 0.394

---

Entry 19:
Computed, not measured: a PBEsol-optimized structure of Ta4CdSb at the SCAN level of DFT.

Values from the calculation:
Total moment, μB per cell: 0.00
DOS(E_F), states/eV/f.u.: 5.88
Formation energy (no corrections), eV per atom: 0.435

a b c (Å): 5.506 5.506 5.506
angles (deg): 60.00 60.00 60.00
Sites, in units of the cell vectors:
Ta: 0.124 0.124 0.124
Ta: 0.124 0.124 0.628
Ta: 0.124 0.628 0.124
Ta: 0.628 0.124 0.124
Cd: 0.750 0.750 0.750
Sb: 0.500 0.500 0.500

---

Entry 20:
Computed, not measured: a PBEsol-optimized structure of Co6ReMo at the SCAN level of DFT.

Values from the calculation:
Total moment, μB per cell: 12.54
DOS(E_F), states/eV/f.u.: 6.79
Formation energy, eV/f.u.: 1.83

a b c (Å): 6.120 6.120 9.994
angles (deg): 90.00 90.00 109.46
Sites, in units of the cell vectors:
Co: 0.000 0.000 0.000
Co: 0.000 0.000 0.500
Co: 0.122 0.374 0.124
Co: 0.122 0.374 0.876
Co: 0.124 0.373 0.374
Co: 0.124 0.373 0.626
Co: 0.249 0.751 0.248
Co: 0.249 0.751 0.752
Co: 0.373 0.124 0.374
Co: 0.373 0.124 0.626
Co: 0.374 0.122 0.124
Co: 0.374 0.122 0.876
Co: 0.500 0.500 0.000
Co: 0.500 0.500 0.500
Co: 0.626 0.878 0.124
Co: 0.626 0.878 0.876
Co: 0.627 0.876 0.374
Co: 0.627 0.876 0.626
Co: 0.751 0.249 0.248
Co: 0.751 0.249 0.752
Co: 0.876 0.627 0.374
Co: 0.876 0.627 0.626
Co: 0.878 0.626 0.124
Co: 0.878 0.626 0.876
Re: 0.000 0.000 0.252
Re: 0.000 0.000 0.748
Re: 0.252 0.748 0.000
Re: 0.748 0.252 0.000
Mo: 0.252 0.748 0.500
Mo: 0.500 0.500 0.252
Mo: 0.500 0.500 0.748
Mo: 0.748 0.252 0.500

---

Entry 21:
Computed, not measured: a PBEsol-optimized structure of KLi5 at the SCAN level of DFT.

Values from the calculation:
Energy above the lowest structure with this stoichiometry, eV per atom: 0.012
Total moment, μB per cell: 0.01
DOS(E_F), states/eV/f.u.: 2.70
Formation energy, eV/f.u.: 0.60

a b c (Å): 6.168 6.168 6.168
angles (deg): 60.00 60.00 60.00
Sites, in units of the cell vectors:
K: 0.000 0.000 0.000
Li: 0.131 0.623 0.623
Li: 0.250 0.250 0.250
Li: 0.623 0.131 0.623
Li: 0.623 0.623 0.131
Li: 0.623 0.623 0.623

---

Entry 22:
Computed, not measured: a PBEsol-optimized structure of AlSe5 at the SCAN level of DFT.

Values from the calculation:
Total moment, μB per cell: 0.00
DOS(E_F), states/eV/f.u.: 2.58
Formation energy (no corrections), eV per atom: -0.191

a b c (Å): 12.534 3.510 6.527
angles (deg): 90.00 99.19 90.00
Sites, in units of the cell vectors:
Al: 0.000 0.000 0.000
Al: 0.500 0.500 0.000
Se: 0.024 0.500 0.476
Se: 0.137 0.500 0.003
Se: 0.255 0.000 0.751
Se: 0.384 0.500 0.646
Se: 0.390 0.000 0.163
Se: 0.524 0.000 0.476
Se: 0.637 0.000 0.003
Se: 0.755 0.500 0.751
Se: 0.884 0.000 0.646
Se: 0.890 0.500 0.163

---

Entry 23:
Computed, not measured: a PBEsol-optimized structure of BaTaCd at the SCAN level of DFT.

Values from the calculation:
Energy above the lowest structure with this stoichiometry, eV per atom: 0.611
Total moment, μB per cell: 14.03
DOS(E_F), states/eV/f.u.: 5.32
Formation energy, eV/f.u.: 3.87

a b c (Å): 7.280 7.280 7.280
angles (deg): 90.00 90.00 90.00
Sites, in units of the cell vectors:
Ba: 0.000 0.000 0.000
Ba: 0.000 0.500 0.500
Ba: 0.500 0.000 0.500
Ba: 0.500 0.500 0.000
Ta: 0.000 0.000 0.500
Ta: 0.000 0.500 0.000
Ta: 0.500 0.000 0.000
Ta: 0.500 0.500 0.500
Cd: 0.250 0.250 0.250
Cd: 0.250 0.750 0.750
Cd: 0.750 0.250 0.750
Cd: 0.750 0.750 0.250